Entry 1:
# Mn3CdMo

A relaxed structure of Mn3CdMo (GGA-PBEsol, Alexandria).

Lattice parameters (Å, degrees): 4.484 4.484 4.484 90.00 90.00 90.00
Atoms (fractional coordinates):
Mn1 0.000 0.000 0.500
Mn2 0.000 0.500 0.000
Mn3 0.500 0.000 0.000
Cd1 0.500 0.500 0.500
Mo1 0.000 0.000 0.000

Properties
Space group: Pm-3m (221)
Total magnetic moment in μB/cell: 6.8
Formation enthalpy at 0 K in eV/atom: 1.347
Calculated volume in Å³ per cell: 90.15
VASP energy in hartree per atom: -0.2610

=====

Entry 2:
# MnCdReN2

A relaxed structure of MnCdReN2 (GGA-PBEsol, Alexandria).

Lattice parameters (Å, degrees): 3.701 3.701 4.756 90.00 90.00 90.00
Atoms (fractional coordinates):
Mn1 0.000 0.000 0.000
Cd1 0.500 0.500 0.500
Re1 0.000 0.000 0.500
N1 0.000 0.500 0.000
N2 0.500 0.000 0.000

Properties
E_form (uncorrected) in meV per atom: 1306
Space group: P4/mmm (123)
Total magnetic moment in μB/cell: 0.0
Calculated volume in Å³ per cell: 65.16
VASP energy in hartree per atom: -0.2559

=====

Entry 3:
# NaMn2CdSe

A relaxed structure of NaMn2CdSe (GGA-PBEsol, Alexandria).

Lattice parameters (Å, degrees): 4.862 4.862 4.914 90.00 90.00 90.00
Atoms (fractional coordinates):
Na1 0.000 0.000 0.000
Mn1 0.000 0.500 0.000
Mn2 0.500 0.000 0.000
Cd1 0.000 0.000 0.500
Se1 0.500 0.500 0.500

Properties
E_form (uncorrected) in meV per atom: 1452
Space group: P4/mmm (123)
Total magnetic moment in μB/cell: 8.5
Calculated volume in Å³ per cell: 116.16
VASP energy in hartree per atom: -0.1375

=====

Entry 4:
# NaSr2MnCd

A relaxed structure of NaSr2MnCd (GGA-PBEsol, Alexandria).

Lattice parameters (Å, degrees): 6.157 6.157 5.419 90.00 90.00 90.00
Atoms (fractional coordinates):
Na1 0.000 0.000 0.000
Sr1 0.000 0.500 0.500
Sr2 0.500 0.000 0.500
Mn1 0.500 0.500 0.000
Cd1 0.000 0.000 0.500

Properties
Space group: P4/mmm (123)
Total magnetic moment in μB/cell: 4.5
Formation enthalpy at 0 K in eV/atom: 0.657
Calculated volume in Å³ per cell: 205.44
VASP energy in hartree per atom: -0.0937

=====

Entry 5:
# NaTaMnCd2

A relaxed structure of NaTaMnCd2 (GGA-PBEsol, Alexandria).

Lattice parameters (Å, degrees): 5.117 5.117 4.282 90.00 90.00 90.00
Atoms (fractional coordinates):
Na1 0.000 0.000 0.000
Ta1 0.500 0.500 0.000
Mn1 0.500 0.500 0.500
Cd1 0.000 0.500 0.500
Cd2 0.500 0.000 0.500

Properties
Space group: P4/mmm (123)
Total magnetic moment in μB/cell: 0.1
Formation enthalpy at 0 K in eV/atom: 0.689
Calculated volume in Å³ per cell: 112.12
VASP energy in hartree per atom: -0.1665

=====

Entry 6:
# MnNbCd3

A relaxed structure of MnNbCd3 (GGA-PBEsol, Alexandria).

Lattice parameters (Å, degrees): 5.264 5.264 5.264 90.00 90.00 90.00
Atoms (fractional coordinates):
Mn1 0.000 0.000 0.000
Nb1 0.500 0.500 0.500
Cd1 0.000 0.500 0.500
Cd2 0.500 0.000 0.500
Cd3 0.500 0.500 0.000

Properties
Space group: Pm-3m (221)
Total magnetic moment in μB/cell: 3.2
Formation enthalpy at 0 K in eV/atom: 1.537
Calculated volume in Å³ per cell: 145.84
VASP energy in hartree per atom: -0.1212

=====

Entry 7:
# MnNbCdNi2

A relaxed structure of MnNbCdNi2 (GGA-PBEsol, Alexandria).

Lattice parameters (Å, degrees): 4.218 4.218 4.699 90.00 90.00 90.00
Atoms (fractional coordinates):
Mn1 0.000 0.000 0.000
Nb1 0.500 0.500 0.500
Cd1 0.000 0.000 0.500
Ni1 0.000 0.500 0.000
Ni2 0.500 0.000 0.000

Properties
Space group: P4/mmm (123)
Total magnetic moment in μB/cell: 4.0
Formation enthalpy at 0 K in eV/atom: 1.223
Calculated volume in Å³ per cell: 83.61
VASP energy in hartree per atom: -0.2056

=====

Entry 8:
# MnNbCd2O

A relaxed structure of MnNbCd2O (GGA-PBEsol, Alexandria).

Lattice parameters (Å, degrees): 5.186 5.186 3.330 90.00 90.00 90.00
Atoms (fractional coordinates):
Mn1 0.000 0.000 0.000
Nb1 0.500 0.500 0.500
Cd1 0.000 0.500 0.000
Cd2 0.500 0.000 0.000
O1 0.000 0.000 0.500

Properties
E_form (uncorrected) in meV per atom: 306
Space group: P4/mmm (123)
Total magnetic moment in μB/cell: 0.4
Calculated volume in Å³ per cell: 89.56
VASP energy in hartree per atom: -0.1962